# Mg5NbB3O12 | the Alexandria database | GGA-PBEsol | optimized geometry
# Density of states at the Fermi level (states/eV/cell): 0.00
# Crystal system: orthorhombic
# Final energy (eV/atom): -7.61
# Formation energy (no corrections) (kcal/mol of atoms): -61.8
# Volume (A^3/atom): 9.8
data_Mg5NbB3O12
_chemical_formula_sum 'Mg20 Nb4 B12 O48'
_cell_length_a 9.389
_cell_length_b 9.439
_cell_length_c 9.333
_cell_angle_alpha 90.00
_cell_angle_beta 90.00
_cell_angle_gamma 90.00
_space_group_name_H-M_alt 'P n m a'
_space_group_IT_number 62
_space_group_name_Hall '-P 2ac 2n'
loop_
_atom_site_label
_atom_site_type_symbol
_atom_site_fract_x
_atom_site_fract_y
_atom_site_fract_z
_atom_site_occupancy
Mg1 Mg 0.098 0.075 0.178 1
Mg2 Mg 0.102 0.750 0.193 1
Mg3 Mg 0.125 0.085 0.572 1
Nb1 Nb 0.098 0.750 0.591 1
B1 B 0.174 0.089 0.874 1
B2 B 0.180 0.750 0.870 1
O1 O 0.010 0.082 0.380 1
O2 O 0.020 0.750 0.397 1
O3 O 0.029 0.089 0.872 1
O4 O 0.038 0.750 0.836 1
O5 O 0.235 0.250 0.245 1
O6 O 0.235 0.750 0.004 1
O7 O 0.243 0.092 0.008 1
O8 O 0.247 0.584 0.249 1


# MgNi3B | the Alexandria database | GGA-PBEsol | optimized geometry
# Density of states at the Fermi level (states/eV/cell): 4.06
# DFT formation energy (eV per atom): -0.27
# Crystal system: cubic
# Final energy (eV/atom): -5.71
# Volume (A^3/atom): 11.1
data_MgNi3B
_chemical_formula_sum 'Mg1 Ni3 B1'
_cell_length_a 3.810
_cell_length_b 3.810
_cell_length_c 3.810
_cell_angle_alpha 90.00
_cell_angle_beta 90.00
_cell_angle_gamma 90.00
_space_group_name_H-M_alt 'P m -3 m'
_space_group_IT_number 221
_space_group_name_Hall '-P 4 2 3'
loop_
_atom_site_label
_atom_site_type_symbol
_atom_site_fract_x
_atom_site_fract_y
_atom_site_fract_z
_atom_site_occupancy
Mg1 Mg 0.000 0.000 0.000 1
Ni1 Ni 0.000 0.500 0.500 1
B1 B 0.500 0.500 0.500 1


# MgNiB2O | the Alexandria database | GGA-PBEsol | optimized geometry
# Density of states at the Fermi level (states/eV/cell): 1.76
# Crystal system: tetragonal
# Final energy (eV/atom): -4.57
# Formation energy (no corrections) (kcal/mol of atoms): 19.9
# Volume (A^3/atom): 10.6
data_MgNiB2O
_chemical_formula_sum 'Mg1 Ni1 B2 O1'
_cell_length_a 3.781
_cell_length_b 3.781
_cell_length_c 3.693
_cell_angle_alpha 90.00
_cell_angle_beta 90.00
_cell_angle_gamma 90.00
_space_group_name_H-M_alt 'P 4/m m m'
_space_group_IT_number 123
_space_group_name_Hall '-P 4 2'
loop_
_atom_site_label
_atom_site_type_symbol
_atom_site_fract_x
_atom_site_fract_y
_atom_site_fract_z
_atom_site_occupancy
Mg1 Mg 0.000 0.000 0.000 1
Ni1 Ni 0.500 0.500 0.000 1
B1 B 0.000 0.500 0.500 1
O1 O 0.500 0.500 0.500 1